VASP calculation (GGA-PBE) on crystalline Te2SeI at its relaxed geometry.

abc: 9.794 9.794 9.794
angles: 24.69 24.69 24.69
Sites, in units of the cell vectors:
Te  0.106  0.106  0.106
Te  0.894  0.894  0.894
Se  0.500  0.500  0.500
I  0.000  0.000  0.000

Results
Energy relative to the elements, uncorrected, eV/f.u.: 0.73
Raw total energy, eV per atom: -2.648
E above lowest polymorph, eV per atom: 0.155
SG: R-3m